# KBeNbPd PBE optimized geometry
data_KBeNbPd
_space_group_name_H-M_alt 'F -4 3 m'
_space_group_IT_number 216
_space_group_name_Hall 'F -4 2 3'
_cell_length_a 6.711
_cell_length_b 6.711
_cell_length_c 6.711
_cell_angle_alpha 90.00
_cell_angle_beta 90.00
_cell_angle_gamma 90.00
loop_
_atom_site_label
_atom_site_fract_x
_atom_site_fract_y
_atom_site_fract_z
K1 0.000 0.000 0.000
Be1 0.250 0.250 0.250
Nb1 0.000 0.000 0.500
Pd1 0.250 0.250 0.750
# V: 18.889 A^3/atom
# E_tot: -4.0308 eV/atom
# Distance to the lowest polymorph of the same formula: 0.1116 eV per atom
# Theoretical density: 5.4 g/cm³

***

# KBeNbPd PBE optimized geometry
data_KBeNbPd
_space_group_name_H-M_alt 'F -4 3 m'
_space_group_IT_number 216
_space_group_name_Hall 'F -4 2 3'
_cell_length_a 6.532
_cell_length_b 6.532
_cell_length_c 6.532
_cell_angle_alpha 90.00
_cell_angle_beta 90.00
_cell_angle_gamma 90.00
loop_
_atom_site_label
_atom_site_fract_x
_atom_site_fract_y
_atom_site_fract_z
K1 0.000 0.000 0.000
Be1 0.000 0.000 0.500
Nb1 0.250 0.250 0.750
Pd1 0.250 0.250 0.250
# V: 17.422 A^3/atom
# E_tot: -3.8815 eV/atom
# Distance to the lowest polymorph of the same formula: 0.2609 eV per atom
# Theoretical density: 5.9 g/cm³

***

# KBeNbPd PBE optimized geometry
data_KBeNbPd
_space_group_name_H-M_alt 'F -4 3 m'
_space_group_IT_number 216
_space_group_name_Hall 'F -4 2 3'
_cell_length_a 6.478
_cell_length_b 6.478
_cell_length_c 6.478
_cell_angle_alpha 90.00
_cell_angle_beta 90.00
_cell_angle_gamma 90.00
loop_
_atom_site_label
_atom_site_fract_x
_atom_site_fract_y
_atom_site_fract_z
K1 0.000 0.000 0.000
Be1 0.250 0.250 0.750
Nb1 0.250 0.250 0.250
Pd1 0.000 0.000 0.500
# V: 16.993 A^3/atom
# E_tot: -4.1424 eV/atom
# Distance to the lowest polymorph of the same formula: 0.0000 eV per atom
# Theoretical density: 6.0 g/cm³

***

# KBeNbPt PBE optimized geometry
data_KBeNbPt
_space_group_name_H-M_alt 'F -4 3 m'
_space_group_IT_number 216
_space_group_name_Hall 'F -4 2 3'
_cell_length_a 6.449
_cell_length_b 6.449
_cell_length_c 6.449
_cell_angle_alpha 90.00
_cell_angle_beta 90.00
_cell_angle_gamma 90.00
loop_
_atom_site_label
_atom_site_fract_x
_atom_site_fract_y
_atom_site_fract_z
K1 0.000 0.000 0.000
Be1 0.250 0.250 0.250
Nb1 0.250 0.250 0.750
Pt1 0.000 0.000 0.500
# V: 16.764 A^3/atom
# E_tot: -4.6362 eV/atom
# Distance to the lowest polymorph of the same formula: 0.0000 eV per atom
# Theoretical density: 8.3 g/cm³

***

# KBeNbPt PBE optimized geometry
data_KBeNbPt
_space_group_name_H-M_alt 'F -4 3 m'
_space_group_IT_number 216
_space_group_name_Hall 'F -4 2 3'
_cell_length_a 6.687
_cell_length_b 6.687
_cell_length_c 6.687
_cell_angle_alpha 90.00
_cell_angle_beta 90.00
_cell_angle_gamma 90.00
loop_
_atom_site_label
_atom_site_fract_x
_atom_site_fract_y
_atom_site_fract_z
K1 0.000 0.000 0.000
Be1 0.250 0.250 0.750
Nb1 0.000 0.000 0.500
Pt1 0.250 0.250 0.250
# V: 18.692 A^3/atom
# E_tot: -4.3933 eV/atom
# Distance to the lowest polymorph of the same formula: 0.2429 eV per atom
# Theoretical density: 7.5 g/cm³

***

# KBeNbPt PBE optimized geometry
data_KBeNbPt
_space_group_name_H-M_alt 'F -4 3 m'
_space_group_IT_number 216
_space_group_name_Hall 'F -4 2 3'
_cell_length_a 6.514
_cell_length_b 6.514
_cell_length_c 6.514
_cell_angle_alpha 90.00
_cell_angle_beta 90.00
_cell_angle_gamma 90.00
loop_
_atom_site_label
_atom_site_fract_x
_atom_site_fract_y
_atom_site_fract_z
K1 0.000 0.000 0.000
Be1 0.000 0.000 0.500
Nb1 0.250 0.250 0.250
Pt1 0.250 0.250 0.750
# V: 17.275 A^3/atom
# E_tot: -4.1480 eV/atom
# Distance to the lowest polymorph of the same formula: 0.4882 eV per atom
# Theoretical density: 8.1 g/cm³

***

# KBeNbS3 PBE optimized geometry
data_KBeNbS3
_space_group_name_H-M_alt 'C m c m'
_space_group_IT_number 63
_space_group_name_Hall '-C 2c 2'
_cell_length_a 3.507
_cell_length_b 14.485
_cell_length_c 9.699
_cell_angle_alpha 90.00
_cell_angle_beta 90.00
_cell_angle_gamma 90.00
loop_
_atom_site_label
_atom_site_fract_x
_atom_site_fract_y
_atom_site_fract_z
K1 0.000 0.239 0.250
Be1 0.000 0.037 0.750
Nb1 0.000 0.500 0.000
S1 0.000 0.118 0.570
S2 0.000 0.446 0.750
# V: 20.532 A^3/atom
# E_tot: -5.5393 eV/atom
# Theoretical density: 3.2 g/cm³

***

# KBeNbSe3 PBE optimized geometry
data_KBeNbSe3
_space_group_name_H-M_alt 'C m c m'
_space_group_IT_number 63
_space_group_name_Hall '-C 2c 2'
_cell_length_a 3.683
_cell_length_b 15.148
_cell_length_c 10.158
_cell_angle_alpha 90.00
_cell_angle_beta 90.00
_cell_angle_gamma 90.00
loop_
_atom_site_label
_atom_site_fract_x
_atom_site_fract_y
_atom_site_fract_z
K1 0.000 0.244 0.250
Be1 0.000 0.034 0.750
Nb1 0.000 0.500 0.000
Se1 0.000 0.120 0.568
Se2 0.000 0.440 0.750
# V: 23.612 A^3/atom
# E_tot: -5.0353 eV/atom
# Theoretical density: 4.4 g/cm³